No. 1
Density functional theory data (PBE) for a relaxed Ba2AlTe3O12 crystal.

Unit cell a=7.3812 b=7.3812 c=17.0993 alpha=90.00 beta=90.00 gamma=120.00
With the nearest neighbours (Å) after each atom.
Space group R-3m (No. 166, hexagonal axes)
One atom of each set of equivalent atoms:
Ba (0.0000, 0.0000, 0.1524)  6 O 2.91-3.01
Al (0.0000, 0.0000, 0.5000)  6 O 1.91
Te (0.0000, 0.5000, 0.0000)  6 O 1.92-2.03
O (0.0734, 0.5367, 0.3677)  2 Te 2.03
O (0.0783, 0.5392, 0.1085)  1 Al 1.91, 1 Te 1.92

VASP energy	-322.156	eV per cell
spin magnetization	0.000	μB per atom
formation energy from raw total energies	-30.9	eV per formula unit


No. 2
Density functional theory data (PBE) for a relaxed Ba3ThAl2O8 crystal.

Unit cell a=6.0142 b=6.0142 c=7.6942 alpha=90.00 beta=90.00 gamma=120.00
With the nearest neighbours (Å) after each atom.
Space group P-3m1 (No. 164)
One atom of each set of equivalent atoms:
Ba (0.0000, 0.0000, 0.0000)  6 O 3.04
Ba (0.3333, 0.6667, 0.6861)  1 O 2.39
Th (0.0000, 0.0000, 0.5000)  6 O 2.31
Al (0.3333, 0.6667, 0.2211)  4 O 1.73-1.81
O (0.1747, 0.3494, 0.3157)  1 Al 1.81
O (0.3333, 0.6667, 0.9969)  1 Al 1.73

VASP energy	-102.730	eV per cell
spin magnetization	0.000	μB per atom
formation energy from raw total energies	-42.4	eV per formula unit


No. 3
Density functional theory data (PBE) for a relaxed BaTiAl2O6 crystal.

Unit cell a=8.7079 b=11.6050 c=6.2898 alpha=90.00 beta=114.27 gamma=90.00
With the nearest neighbours (Å) after each atom.
Space group C2/c (No. 15)
One atom of each set of equivalent atoms:
Ba (0.0000, 0.1072, 0.2500)  6 O 2.71-2.75
Ti (0.0000, 0.2060, 0.7500)  4 O 1.82-1.84
Al (0.1218, 0.4283, 0.1543)  5 O 1.84-1.97
O (0.0765, 0.2828, 0.0266)  1 Ti 1.82, 1 Al 1.84
O (0.1201, 0.4598, 0.4463)  3 Al 1.84-1.97
O (0.1465, 0.0987, 0.7214)  1 Ti 1.84, 1 Al 1.87

VASP energy	-307.450	eV per cell
spin magnetization	0.000	μB per atom
formation energy from raw total energies	-29.8	eV per formula unit


No. 4
Density functional theory data (PBE) for a relaxed Ba3TiAl2O8 crystal.

Unit cell a=5.6941 b=5.6941 c=7.4250 alpha=90.00 beta=90.00 gamma=120.00
With the nearest neighbours (Å) after each atom.
Space group P-3m1 (No. 164)
One atom of each set of equivalent atoms:
Ba (0.0000, 0.0000, 0.0000)  12 O 3.01-3.29
Ba (0.3333, 0.6667, 0.6789)  1 O 2.48
Ti (0.0000, 0.0000, 0.5000)  6 O 2.01
Al (0.3333, 0.6667, 0.2437)  4 O 1.71-1.81
O (0.1649, 0.3298, 0.3415)  1 Al 1.81, 1 Ti 2.01
O (0.3333, 0.6667, 0.0131)  1 Al 1.71

VASP energy	-101.622	eV per cell
spin magnetization	0.000	μB per atom
formation energy from raw total energies	-40.8	eV per formula unit


No. 5
Density functional theory data (PBE) for a relaxed Ba2Ti2AlTlO7 crystal.

Unit cell a=5.5388 b=5.3326 c=14.5670 alpha=90.00 beta=93.59 gamma=90.00
With the nearest neighbours (Å) after each atom.
Space group Cm (No. 8)
One atom of each set of equivalent atoms:
Ba (0.0000, 0.0000, 0.0000)  1 O 2.48
Ba (0.0559, 0.0000, 0.3400)  1 O 2.48
Ti (0.0995, 0.5000, 0.5462)  1 O 1.77
Ti (0.4482, 0.0000, 0.7935)  1 O 1.77
Al (0.0236, 0.0000, 0.6699)  4 O 1.86
Tl (0.0273, 0.5000, 0.1699)  3 O 2.55-2.68
O (0.0666, 0.0000, 0.1700)  2 Ba 2.48, 3 Tl 2.55-2.68
O (0.0681, 0.5000, 0.4247)  1 Ti 1.77
O (0.1674, 0.2333, 0.7512)  1 Al 1.86, 2 Ti 1.99-2.06
O (0.3806, 0.2669, 0.5884)  1 Al 1.86, 2 Ti 1.99-2.06
O (0.4785, 0.0000, 0.9150)  1 Ti 1.77

VASP energy	-182.354	eV per cell
spin magnetization	0.105	μB per atom
formation energy from raw total energies	-30.7	eV per formula unit


No. 6
Density functional theory data (PBE) for a relaxed Ba2Al2TlO6 crystal.

Unit cell a=6.0229 b=6.0229 c=18.9188 alpha=90.00 beta=90.00 gamma=120.00
With the nearest neighbours (Å) after each atom.
Space group R-3m (No. 166, hexagonal axes)
One atom of each set of equivalent atoms:
Ba (0.0000, 0.0000, 0.2046)  3 O 2.76
Al (0.0000, 0.0000, 0.4235)  3 O 1.72
Tl (0.0000, 0.0000, 0.0000)  6 O 2.48
O (0.0044, 0.5022, 0.2409)  1 Al 1.72

VASP energy	-201.941	eV per cell
spin magnetization	0.000	μB per atom
formation energy from raw total energies	-23.9	eV per formula unit